Density functional theory data (GGA-PBE) for crystalline LiZn2MoCl at its relaxed geometry.

## Properties
Electronic total energy = -2.736 eV per atom

a b c (Å): 5.0984 3.9559 5.0984
angles (deg): 90.00 90.00 90.00
Element x y z (fractional)
Mo 0.5000 0.5000 0.5000
Zn 0.0000 0.0000 0.5000
Cl 0.0000 0.0000 0.0000
Zn 0.5000 0.0000 0.0000
Li 0.0000 0.5000 0.0000